1.
An optimized crystal structure of ZnAg2Rh, computed with PBE.

Cell: 3.127 3.127 6.536 Å, 90.00 90.00 90.00°
Space group P4mm (No. 99)
Symmetry-distinct sites (fractional):
Zn (0.000, 0.000, 0.000) x1
Ag (0.000, 0.000, 0.534) x1
Ag (0.500, 0.500, 0.255) x1
Rh (0.500, 0.500, 0.803) x1

Calculated values
ρ, g cm⁻³: 9.98
Formation energy from the elements, eV/f.u.: -0.2

***

2.
An optimized crystal structure of La2BiOsW, computed with PBE.

Cell: 5.970 5.970 5.016 Å, 90.00 90.00 90.00°
Space group P4/mmm (No. 123)
Symmetry-distinct sites (fractional):
La (0.000, 0.500, 0.000) x2
Bi (0.000, 0.000, 0.000) x1
Os (0.500, 0.500, 0.500) x1
W (0.000, 0.000, 0.500) x1

Calculated values
ρ, g cm⁻³: 8.00
Formation energy from the elements, eV/f.u.: 9.6

***

3.
An optimized crystal structure of RbAg3Sn3, computed with PBE.

Cell: 7.776 7.776 7.776 Å, 90.00 90.00 90.00°
Space group Pm-3n (No. 223)
Symmetry-distinct sites (fractional):
Rb (0.000, 0.000, 0.000) x2
Ag (0.000, 0.250, 0.500) x6
Sn (0.000, 0.500, 0.250) x6

Calculated values
ΔE to the lowest computed polymorph, eV per atom: 0.071
ρ, g cm⁻³: 5.40
Formation energy from the elements, eV/f.u.: 1.0

***

4.
An optimized crystal structure of CaSe3N, computed with PBE.

Cell: 4.546 4.546 4.546 Å, 90.00 90.00 90.00°
Space group Pm-3m (No. 221)
Symmetry-distinct sites (fractional):
Ca (0.000, 0.000, 0.000) x1
Se (0.000, 0.500, 0.500) x3
N (0.500, 0.500, 0.500) x1

Calculated values
ΔE to the lowest computed polymorph, eV per atom: 0.000
ρ, g cm⁻³: 5.14
Formation energy without anion corrections, eV per atom: 0.025

***

5.
An optimized crystal structure of Cs2NaNdCl6, computed with PBE.

Cell: 11.071 11.071 11.071 Å, 90.00 90.00 90.00°
Space group Fm-3m (No. 225)
Symmetry-distinct sites (fractional):
Cs (0.250, 0.250, 0.250) x8
Na (0.000, 0.000, 0.000) x4
Nd (0.000, 0.000, 0.500) x4
Cl (0.000, 0.000, 0.253) x24

Calculated values
ρ, g cm⁻³: 3.16
Formation energy without anion corrections, eV per atom: -2.122

***

6.
An optimized crystal structure of Na2TlSbCl6, computed with PBE.

Cell: 7.2767 7.2767 19.6658 Å, 90.00 90.00 120.00°
Space group R3 (No. 146, hexagonal axes)
Symmetry-distinct sites (fractional):
Na (0.0000, 0.0000, 0.0000) x3
Na (0.0000, 0.0000, 0.4797) x3
Tl (0.0000, 0.0000, 0.1943) x3
Sb (0.0000, 0.0000, 0.6783) x3
Cl (0.0109, 0.3342, 0.7485) x9
Cl (0.0347, 0.6206, 0.2600) x9

Calculated values
ρ, g cm⁻³: 3.23
Formation energy without anion corrections, eV per atom: -1.278

***

7.
An optimized crystal structure of IrW, computed with PBE.

Cell: 5.677 5.677 5.677 Å, 90.00 90.00 90.00°
Space group F-43m (No. 216)
Symmetry-distinct sites (fractional):
Ir (0.000, 0.000, 0.000) x4
W (0.250, 0.250, 0.250) x4

Calculated values
ΔE to the lowest computed polymorph, eV per atom: 1.373
ρ, g cm⁻³: 13.65
Formation energy from the elements, eV/f.u.: 2.1

***

8.
An optimized crystal structure of La2HoSc, computed with PBE.

Cell: 5.161 5.161 4.814 Å, 90.00 90.00 90.00°
Space group P4/mmm (No. 123)
Symmetry-distinct sites (fractional):
La (0.000, 0.500, 0.000) x2
Ho (0.000, 0.000, 0.500) x1
Sc (0.500, 0.500, 0.500) x1

Calculated values
ΔE to the lowest computed polymorph, eV per atom: 0.007
ρ, g cm⁻³: 6.32
Formation energy from the elements, eV/f.u.: 0.2